[1]
Ce2PmGa6: optimized geometry, PBE-GGA. Values from VASP.

The structure in Quantum ESPRESSO input format:
```
&SYSTEM
  ibrav = 0, nat = 9, ntyp = 3
/
ATOMIC_SPECIES
Ce 140.12 Ce.upf
Pm 145.00 Pm.upf
Ga 69.72 Ga.upf
CELL_PARAMETERS angstrom
7.400 0.000 0.000
-3.700 6.408 0.000
0.000 0.000 4.215
ATOMIC_POSITIONS crystal
Ce 0.333 0.667 0.000
Ce 0.667 0.333 0.000
Pm 0.000 0.000 0.000
Ga 0.000 0.334 0.500
Ga 0.000 0.666 0.500
Ga 0.334 0.000 0.500
Ga 0.334 0.334 0.500
Ga 0.666 0.000 0.500
Ga 0.666 0.666 0.500
```

Results
* V: 22.21 A^3/atom
* DFT formation energy: -0.619 eV per atom
* energy: -4.484 eV per atom
* E above lowest polymorph: 0.00 eV/f.u.
* total magnetization: 1.226 Bohr magnetons per cell

=====

[2]
CePm2Ga4: optimized geometry, PBE-GGA. Values from VASP.

The structure in Quantum ESPRESSO input format:
```
&SYSTEM
  ibrav = 0, nat = 7, ntyp = 3
/
ATOMIC_SPECIES
Ce 140.12 Ce.upf
Pm 145.00 Pm.upf
Ga 69.72 Ga.upf
CELL_PARAMETERS angstrom
-2.096 2.186 9.344
2.096 -2.186 9.344
2.096 2.186 -9.344
ATOMIC_POSITIONS crystal
Ce 0.000 0.000 0.000
Pm 0.184 0.684 0.500
Pm 0.816 0.316 0.500
Ga 0.357 0.857 0.500
Ga 0.434 0.434 0.000
Ga 0.566 0.566 0.000
Ga 0.643 0.143 0.500
```

Results
* V: 24.47 A^3/atom
* DFT formation energy: -0.601 eV per atom
* energy: -4.536 eV per atom
* E above lowest polymorph: 0.00 eV/f.u.
* total magnetization: 0.706 Bohr magnetons per cell

=====

[3]
CePm2Ga: optimized geometry, PBE-GGA. Values from VASP.

The structure in Quantum ESPRESSO input format:
```
&SYSTEM
  ibrav = 0, nat = 8, ntyp = 3
/
ATOMIC_SPECIES
Ce 140.12 Ce.upf
Pm 145.00 Pm.upf
Ga 69.72 Ga.upf
CELL_PARAMETERS angstrom
5.614 -3.165 0.000
5.614 3.165 0.000
-2.207 0.000 6.498
ATOMIC_POSITIONS crystal
Ce 0.189 0.811 0.750
Ce 0.811 0.189 0.250
Pm 0.266 0.299 0.888
Pm 0.299 0.266 0.388
Pm 0.701 0.734 0.612
Pm 0.734 0.701 0.112
Ga 0.298 0.702 0.250
Ga 0.702 0.298 0.750
```

Results
* V: 28.86 A^3/atom
* DFT formation energy: -0.151 eV per atom
* energy: -4.767 eV per atom
* E above lowest polymorph: 0.26 eV/f.u.
* total magnetization: 1.904 Bohr magnetons per cell

=====

[4]
CePm3Ga4: optimized geometry, PBE-GGA. Values from VASP.

The structure in Quantum ESPRESSO input format:
```
&SYSTEM
  ibrav = 0, nat = 8, ntyp = 3
/
ATOMIC_SPECIES
Ce 140.12 Ce.upf
Pm 145.00 Pm.upf
Ga 69.72 Ga.upf
CELL_PARAMETERS angstrom
-1.836 3.490 8.401
1.836 -3.490 8.401
1.836 3.490 -8.401
ATOMIC_POSITIONS crystal
Ce 0.000 0.000 0.000
Pm 0.200 0.700 0.500
Pm 0.500 0.500 0.000
Pm 0.800 0.300 0.500
Ga 0.182 0.870 0.312
Ga 0.443 0.130 0.312
Ga 0.557 0.870 0.688
Ga 0.818 0.130 0.688
```

Results
* V: 26.92 A^3/atom
* DFT formation energy: -0.393 eV per atom
* energy: -4.430 eV per atom
* E above lowest polymorph: 1.16 eV/f.u.
* total magnetization: 1.138 Bohr magnetons per cell

=====

[5]
CePmGa4: optimized geometry, PBE-GGA. Values from VASP.

The structure in Quantum ESPRESSO input format:
```
&SYSTEM
  ibrav = 0, nat = 6, ntyp = 3
/
ATOMIC_SPECIES
Ce 140.12 Ce.upf
Pm 145.00 Pm.upf
Ga 69.72 Ga.upf
CELL_PARAMETERS angstrom
0.000 3.961 3.961
3.961 0.000 3.961
3.961 3.961 0.000
ATOMIC_POSITIONS crystal
Ce 0.000 0.000 0.000
Pm 0.750 0.750 0.750
Ga 0.375 0.375 0.375
Ga 0.375 0.375 0.876
Ga 0.375 0.876 0.375
Ga 0.876 0.375 0.375
```

Results
* V: 20.71 A^3/atom
* DFT formation energy: -0.534 eV per atom
* energy: -4.332 eV per atom
* E above lowest polymorph: 0.66 eV/f.u.
* total magnetization: 0.869 Bohr magnetons per cell

=====

[6]
CePmGa: optimized geometry, PBE-GGA. Values from VASP.

The structure in Quantum ESPRESSO input format:
```
&SYSTEM
  ibrav = 0, nat = 12, ntyp = 3
/
ATOMIC_SPECIES
Ce 140.12 Ce.upf
Pm 145.00 Pm.upf
Ga 69.72 Ga.upf
CELL_PARAMETERS angstrom
0.000 5.524 5.524
5.524 0.000 5.524
5.524 5.524 0.000
ATOMIC_POSITIONS crystal
Ce 0.089 0.089 0.089
Ce 0.089 0.089 0.734
Ce 0.089 0.734 0.089
Ce 0.734 0.089 0.089
Pm 0.114 0.629 0.629
Pm 0.629 0.114 0.629
Pm 0.629 0.629 0.114
Pm 0.629 0.629 0.629
Ga 0.346 0.346 0.346
Ga 0.346 0.346 0.961
Ga 0.346 0.961 0.346
Ga 0.961 0.346 0.346
```

Results
* V: 28.09 A^3/atom
* DFT formation energy: -0.125 eV per atom
* energy: -4.696 eV per atom
* E above lowest polymorph: 0.40 eV/f.u.
* total magnetization: 0.000 Bohr magnetons per cell

=====

[7]
Ce2Pm3Ga3: optimized geometry, PBE-GGA. Values from VASP.

The structure in Quantum ESPRESSO input format:
```
&SYSTEM
  ibrav = 0, nat = 8, ntyp = 3
/
ATOMIC_SPECIES
Ce 140.12 Ce.upf
Pm 145.00 Pm.upf
Ga 69.72 Ga.upf
CELL_PARAMETERS angstrom
-2.084 2.400 10.317
2.084 -2.400 10.317
2.084 2.400 -10.317
ATOMIC_POSITIONS crystal
Ce 0.237 0.237 0.000
Ce 0.763 0.763 0.000
Pm 0.000 0.000 0.000
Pm 0.384 0.884 0.500
Pm 0.616 0.116 0.500
Ga 0.127 0.627 0.500
Ga 0.500 0.500 0.000
Ga 0.873 0.373 0.500
```

Results
* V: 25.80 A^3/atom
* DFT formation energy: -0.360 eV per atom
* energy: -4.760 eV per atom
* total magnetization: 1.434 Bohr magnetons per cell

=====

[8]
CePm2Ga2: optimized geometry, PBE-GGA. Values from VASP.

The structure in Quantum ESPRESSO input format:
```
&SYSTEM
  ibrav = 0, nat = 5, ntyp = 3
/
ATOMIC_SPECIES
Ce 140.12 Ce.upf
Pm 145.00 Pm.upf
Ga 69.72 Ga.upf
CELL_PARAMETERS angstrom
-2.335 3.345 4.256
2.335 -3.345 4.256
2.335 3.345 -4.256
ATOMIC_POSITIONS crystal
Ce 0.000 0.000 0.000
Pm 0.300 0.800 0.500
Pm 0.700 0.200 0.500
Ga 0.301 0.500 0.801
Ga 0.699 0.500 0.199
```

Results
* V: 26.59 A^3/atom
* DFT formation energy: -0.438 eV per atom
* energy: -4.736 eV per atom
* E above lowest polymorph: 0.00 eV/f.u.
* total magnetization: 0.268 Bohr magnetons per cell

=====

[9]
CePm4Ga2: optimized geometry, PBE-GGA. Values from VASP.

The structure in Quantum ESPRESSO input format:
```
&SYSTEM
  ibrav = 0, nat = 7, ntyp = 3
/
ATOMIC_SPECIES
Ce 140.12 Ce.upf
Pm 145.00 Pm.upf
Ga 69.72 Ga.upf
CELL_PARAMETERS angstrom
2.483 1.434 10.147
-2.483 1.434 10.147
0.000 -2.868 10.147
ATOMIC_POSITIONS crystal
Ce 0.000 0.000 0.000
Pm 0.204 0.204 0.204
Pm 0.389 0.389 0.389
Pm 0.611 0.611 0.611
Pm 0.796 0.796 0.796
Ga 0.099 0.099 0.099
Ga 0.901 0.901 0.901
```

Results
* V: 30.97 A^3/atom
* DFT formation energy: -0.076 eV per atom
* energy: -4.503 eV per atom
* total magnetization: 0.692 Bohr magnetons per cell

=====

[10]
Ce5PmGa3: optimized geometry, PBE-GGA. Values from VASP.

The structure in Quantum ESPRESSO input format:
```
&SYSTEM
  ibrav = 0, nat = 18, ntyp = 3
/
ATOMIC_SPECIES
Ce 140.12 Ce.upf
Pm 145.00 Pm.upf
Ga 69.72 Ga.upf
CELL_PARAMETERS angstrom
9.009 0.000 0.000
-4.504 7.802 0.000
0.000 0.000 6.565
ATOMIC_POSITIONS crystal
Ce 0.000 0.345 0.250
Ce 0.000 0.655 0.750
Ce 0.333 0.667 0.000
Ce 0.333 0.667 0.500
Ce 0.345 0.000 0.250
Ce 0.345 0.345 0.750
Ce 0.655 0.000 0.750
Ce 0.655 0.655 0.250
Ce 0.667 0.333 0.000
Ce 0.667 0.333 0.500
Pm 0.000 0.000 0.000
Pm 0.000 0.000 0.500
Ga 0.000 0.325 0.750
Ga 0.000 0.675 0.250
Ga 0.325 0.000 0.750
Ga 0.325 0.325 0.250
Ga 0.675 0.000 0.250
Ga 0.675 0.675 0.750
```

Results
* V: 25.63 A^3/atom
* DFT formation energy: -0.316 eV per atom
* energy: -5.150 eV per atom
* total magnetization: 11.144 Bohr magnetons per cell

=====

[11]
CePm2Ga: optimized geometry, PBE-GGA. Values from VASP.

The structure in Quantum ESPRESSO input format:
```
&SYSTEM
  ibrav = 0, nat = 4, ntyp = 3
/
ATOMIC_SPECIES
Ce 140.12 Ce.upf
Pm 145.00 Pm.upf
Ga 69.72 Ga.upf
CELL_PARAMETERS angstrom
1.738 1.003 11.392
-1.738 1.003 11.392
0.000 -2.006 11.392
ATOMIC_POSITIONS crystal
Ce 0.000 0.000 0.000
Pm 0.099 0.099 0.099
Pm 0.901 0.901 0.901
Ga 0.500 0.500 0.500
```

Results
* V: 29.79 A^3/atom
* DFT formation energy: 0.027 eV per atom
* energy: -4.588 eV per atom
* E above lowest polymorph: 0.97 eV/f.u.
* total magnetization: 0.964 Bohr magnetons per cell

=====

[12]
Ce4PmGa3: optimized geometry, PBE-GGA. Values from VASP.

The structure in Quantum ESPRESSO input format:
```
&SYSTEM
  ibrav = 0, nat = 8, ntyp = 3
/
ATOMIC_SPECIES
Ce 140.12 Ce.upf
Pm 145.00 Pm.upf
Ga 69.72 Ga.upf
CELL_PARAMETERS angstrom
7.526 -1.563 0.000
7.526 1.563 0.000
-5.765 0.000 8.667
ATOMIC_POSITIONS crystal
Ce 0.174 0.174 0.366
Ce 0.251 0.251 0.181
Ce 0.749 0.749 0.819
Ce 0.826 0.826 0.634
Pm 0.000 0.000 0.500
Ga 0.000 0.000 0.000
Ga 0.077 0.077 0.834
Ga 0.923 0.923 0.166
```

Results
* V: 25.49 A^3/atom
* DFT formation energy: -0.024 eV per atom
* energy: -4.720 eV per atom
* total magnetization: 1.233 Bohr magnetons per cell